Compound: TbAgMo2O8
Source: the Alexandria database
Functional: PBE with a Hubbard U
Structure: relaxed

Structure (POSCAR):
```
TbAgMo2O8
1.0
6.076 0.000 0.000
-3.038 5.262 0.000
0.000 0.000 6.661
Tb O Mo Ag
1 8 2 1
direct
0.000 0.000 0.500
0.333 0.667 0.060
0.169 0.831 0.713
0.169 0.338 0.713
0.667 0.333 0.940
0.831 0.169 0.287
0.831 0.662 0.287
0.662 0.831 0.713
0.338 0.169 0.287
0.667 0.333 0.201
0.333 0.667 0.799
0.000 0.000 0.000
```

---

Compound: YTlV2O8
Source: the Alexandria database
Functional: PBE with a Hubbard U
Structure: relaxed

Structure (POSCAR):
```
YTlV2O8
1.0
6.010 0.058 0.000
-2.614 5.412 0.000
-1.698 -2.735 5.076
O Y V Tl
8 1 2 1
direct
0.918 0.608 0.690
0.392 0.082 0.310
0.918 0.228 0.310
0.324 0.139 0.815
0.490 0.676 0.815
0.324 0.510 0.185
0.772 0.082 0.690
0.861 0.676 0.185
0.000 0.000 0.000
0.500 0.500 0.000
0.750 0.250 0.500
0.250 0.750 0.500
```

---

Result set for density of states at the Fermi level: 0.000, 0.000 states/eV/cell, one per record in the order listed.
Result set for M_tot: 0.000, 0.000 μB/f.u., one per record in the order listed.
Result set for DFT total energy: -83.512, -87.341 eV/cell, one per record in the order listed.